one.
Ba2Sr2Cd | PBE-GGA | relaxed

```
data_Ba2Sr2Cd
_cell_length_a 8.9990
_cell_length_b 8.9990
_cell_length_c 6.7216
_cell_angle_alpha 90.00
_cell_angle_beta 90.00
_cell_angle_gamma 90.00
_space_group_name_H-M_alt 'P 1'
_space_group_IT_number 1
_space_group_name_Hall 'P 1'
loop_
_atom_site_label
_atom_site_type_symbol
_atom_site_fract_x
_atom_site_fract_y
_atom_site_fract_z
Sr1 Sr 0.8332 0.3332 0.5000
Ba1 Ba 0.3461 0.8461 0.0000
Sr2 Sr 0.1668 0.6668 0.5000
Cd1 Cd 0.0000 0.0000 0.0000
Ba2 Ba 0.1539 0.3461 0.0000
Sr3 Sr 0.3332 0.1668 0.5000
Ba3 Ba 0.8461 0.6539 0.0000
Ba4 Ba 0.6539 0.1539 0.0000
Sr4 Sr 0.6668 0.8332 0.5000
Cd2 Cd 0.5000 0.5000 0.0000
```

Results
Size of the total moment: 0.00 μB/f.u.



two.
Ba2Sr2Cd | PBE-GGA | relaxed

```
data_Ba2Sr2Cd
_cell_length_a 8.8319
_cell_length_b 8.8319
_cell_length_c 6.7844
_cell_angle_alpha 90.00
_cell_angle_beta 90.00
_cell_angle_gamma 90.00
_space_group_name_H-M_alt 'P 1'
_space_group_IT_number 1
_space_group_name_Hall 'P 1'
loop_
_atom_site_label
_atom_site_type_symbol
_atom_site_fract_x
_atom_site_fract_y
_atom_site_fract_z
Ba1 Ba 0.1721 0.6721 0.5000
Sr1 Sr 0.3439 0.8439 0.0000
Ba2 Ba 0.3279 0.1721 0.5000
Ba3 Ba 0.6721 0.8279 0.5000
Ba4 Ba 0.8279 0.3279 0.5000
Sr2 Sr 0.8439 0.6561 0.0000
Sr3 Sr 0.1561 0.3439 0.0000
Sr4 Sr 0.6561 0.1561 0.0000
Cd1 Cd 0.0000 0.0000 0.0000
Cd2 Cd 0.5000 0.5000 0.0000
```

Results
Size of the total moment: 0.00 μB/f.u.



Energy relative to the most stable one, in kJ/mol of atoms: one 5.3; two 0.0